DFT (GGA-PBE) results for an optimized crystal structure of Li4ErTaO6.

Total DFT energy (no corrections) ... -7.10 eV/atom
Crystal system ... monoclinic

Unit cell a=5.396 b=5.396 c=5.208 alpha=99.99 beta=99.99 gamma=119.99
Atoms (fractional coordinates):
Li 0.340 0.660 0.500
O 0.395 0.064 0.769
Ta 0.168 0.832 0.000
O 0.243 0.218 0.240
O 0.936 0.605 0.231
Li 0.501 0.499 0.000
O 0.782 0.757 0.760
O 0.549 0.913 0.237
Er 0.834 0.166 0.000
Li 0.014 0.986 0.500
O 0.087 0.451 0.763
Li 0.651 0.349 0.500